# 1
# PaGa3O8 | Alexandria | PBE | relaxed
data_PaGa3O8
_space_group_name_H-M_alt 'C 1 m 1'
_space_group_IT_number 8
_cell_length_a 12.4308
_cell_length_b 3.7322
_cell_length_c 6.7021
_cell_angle_alpha 90.00
_cell_angle_beta 95.08
_cell_angle_gamma 90.00
loop_
_space_group_symop_operation_xyz
'x,y,z'
'x,-y,z'
'x+1/2,y+1/2,z'
'x+1/2,-y+1/2,z'
loop_
_atom_site_label
_atom_site_fract_x
_atom_site_fract_y
_atom_site_fract_z
Pa1 0.0000 0.0000 0.0000
Ga1 0.0277 0.5000 0.4761
Ga2 0.1961 0.5000 0.8350
Ga3 0.3270 0.5000 0.5009
O1 0.0277 0.5000 0.8035
O2 0.0307 0.5000 0.1801
O3 0.1735 0.0000 0.9379
O4 0.1793 0.5000 0.5511
O5 0.3489 0.5000 0.8143
O6 0.3589 0.5000 0.2148
O7 0.3603 0.0000 0.4829
O8 0.4962 0.5000 0.4736
# Crystal system ... monoclinic
# Magnetization ... 2.04 μB per formula unit
# Uncorrected formation energy ... -1904 meV/atom

=====

# 2
# PaGaO6 | Alexandria | PBE | relaxed
data_PaGaO6
_space_group_name_H-M_alt 'F m -3 m'
_space_group_IT_number 225
_space_group_name_Hall '-F 4 2 3'
_cell_length_a 8.0228
_cell_length_b 8.0228
_cell_length_c 8.0228
_cell_angle_alpha 90.00
_cell_angle_beta 90.00
_cell_angle_gamma 90.00
loop_
_atom_site_label
_atom_site_fract_x
_atom_site_fract_y
_atom_site_fract_z
Pa1 0.0000 0.0000 0.0000
Ga1 0.0000 0.0000 0.5000
O1 0.0000 0.0000 0.2577
# Crystal system ... cubic
# Magnetization ... 0.00 μB per formula unit
# Uncorrected formation energy ... -1495 meV/atom

=====

# 3
# PaGaO5 | Alexandria | PBE | relaxed
data_PaGaO5
_space_group_name_H-M_alt 'C 1 2/c 1'
_space_group_IT_number 15
_cell_length_a 8.7522
_cell_length_b 6.5132
_cell_length_c 7.4996
_cell_angle_alpha 90.00
_cell_angle_beta 114.52
_cell_angle_gamma 90.00
loop_
_space_group_symop_operation_xyz
'x,y,z'
'-x,-y,-z'
'-x,y,-z+1/2'
'x,-y,z+1/2'
'x+1/2,y+1/2,z'
'-x+1/2,-y+1/2,-z'
'-x+1/2,y+1/2,-z+1/2'
'x+1/2,-y+1/2,z+1/2'
loop_
_atom_site_label
_atom_site_fract_x
_atom_site_fract_y
_atom_site_fract_z
Pa1 0.0000 0.0448 0.2500
Ga1 0.0000 0.5000 0.0000
O1 0.0000 0.4057 0.2500
O2 0.0100 0.1963 0.9657
O3 0.2450 0.4692 0.6276
# Crystal system ... monoclinic
# Magnetization ... 1.86 μB per formula unit
# Uncorrected formation energy ... -2101 meV/atom

=====

# 4
# Pa4Ga6O19 | Alexandria | PBE | relaxed
data_Pa4Ga6O19
_space_group_name_H-M_alt 'I -4 3 m'
_space_group_IT_number 217
_space_group_name_Hall 'I -4 2 3'
_cell_length_a 9.1588
_cell_length_b 9.1588
_cell_length_c 9.1588
_cell_angle_alpha 90.00
_cell_angle_beta 90.00
_cell_angle_gamma 90.00
loop_
_atom_site_label
_atom_site_fract_x
_atom_site_fract_y
_atom_site_fract_z
Pa1 0.1436 0.1436 0.1436
Ga1 0.0000 0.2500 0.5000
O1 0.0000 0.0000 0.0000
O2 0.0000 0.0000 0.2707
O3 0.0582 0.3144 0.3144
# Crystal system ... cubic
# Magnetization ... 0.00 μB per formula unit
# Uncorrected formation energy ... -2506 meV/atom

=====

# 5
# Pa2GaO6 | Alexandria | PBE | relaxed
data_Pa2GaO6
_space_group_name_H-M_alt 'P 1 21/c 1'
_space_group_IT_number 14
_cell_length_a 5.4419
_cell_length_b 5.7436
_cell_length_c 9.1249
_cell_angle_alpha 90.00
_cell_angle_beta 118.91
_cell_angle_gamma 90.00
loop_
_space_group_symop_operation_xyz
'x,y,z'
'-x,-y,-z'
'-x,y+1/2,-z+1/2'
'x,-y+1/2,z+1/2'
loop_
_atom_site_label
_atom_site_fract_x
_atom_site_fract_y
_atom_site_fract_z
Pa1 0.1882 0.0888 0.2284
Ga1 0.5000 0.0000 0.0000
O1 0.1504 0.1676 0.9490
O2 0.2240 0.7119 0.8873
O3 0.4597 0.0948 0.7849
# Crystal system ... monoclinic
# Magnetization ... 1.04 μB per formula unit
# Uncorrected formation energy ... -2950 meV/atom

=====

# 6
# PaGaO4 | Alexandria | PBE | relaxed
data_PaGaO4
_space_group_name_H-M_alt 'P -4 2 c'
_space_group_IT_number 112
_cell_length_a 5.1893
_cell_length_b 5.1893
_cell_length_c 9.7752
_cell_angle_alpha 90.00
_cell_angle_beta 90.00
_cell_angle_gamma 90.00
loop_
_space_group_symop_operation_xyz
'x,y,z'
'y,-x,-z'
'-x,-y,z'
'-y,x,-z'
'x,-y,-z+1/2'
'y,x,z+1/2'
'-x,y,-z+1/2'
'-y,-x,z+1/2'
loop_
_atom_site_label
_atom_site_fract_x
_atom_site_fract_y
_atom_site_fract_z
Pa1 0.0000 0.0000 0.0000
Ga1 0.0000 0.5000 0.2500
O1 0.1576 0.2740 0.3717
# Crystal system ... tetragonal
# Magnetization ... 0.00 μB per formula unit
# Offset from the most stable computed form ... 0.1068 eV per atom
# Uncorrected formation energy ... -2459 meV/atom

=====

Q: The highest uncorrected formation energy belongs to which entry?
A: PaGaO6

=====

Repeat the fourth record exactly.
# Pa4Ga6O19 | Alexandria | PBE | relaxed
data_Pa4Ga6O19
_space_group_name_H-M_alt 'I -4 3 m'
_space_group_IT_number 217
_space_group_name_Hall 'I -4 2 3'
_cell_length_a 9.1588
_cell_length_b 9.1588
_cell_length_c 9.1588
_cell_angle_alpha 90.00
_cell_angle_beta 90.00
_cell_angle_gamma 90.00
loop_
_atom_site_label
_atom_site_fract_x
_atom_site_fract_y
_atom_site_fract_z
Pa1 0.1436 0.1436 0.1436
Ga1 0.0000 0.2500 0.5000
O1 0.0000 0.0000 0.0000
O2 0.0000 0.0000 0.2707
O3 0.0582 0.3144 0.3144
# Crystal system ... cubic
# Magnetization ... 0.00 μB per formula unit
# Uncorrected formation energy ... -2506 meV/atom

=====

Q: The highest uncorrected formation energy belongs to which entry?
A: PaGaO6

=====

Q: Look up the magnetization of the fifth one.
A: 1.04 μB per formula unit